Record 1
A relaxed ZrInAu crystal. Source: Alexandria via LeMat-Bulk, functional PBE.

Lattice parameters (Å, degrees): 5.6579 3.0204 7.4473 90.00 96.22 90.00
With the nearest neighbours (Å) after each atom.
Atoms (fractional coordinates):
Zr  0.2052  0.0000  0.1760  6 Au 2.93-3.22, 2 Zr 3.02, 4 In 3.16-3.17
Zr  0.7948  0.0000  0.8240  6 Au 2.93-3.22, 2 Zr 3.02, 4 In 3.16-3.17
In  0.0000  0.5000  0.5000  4 In 2.83-3.02, 2 Au 2.98
In  0.5000  0.5000  0.5000  4 In 2.83-3.02, 2 Au 2.99, 4 Zr 3.16
Au  0.2989  0.5000  0.8548  6 Zr 2.93-3.22, 3 Au 2.96-3.02, 2 In 2.98-2.99
Au  0.7011  0.5000  0.1452  6 Zr 2.93-3.22, 3 Au 2.96-3.02, 2 In 2.98-2.99

Results
Calculated total energy: -31.01 eV/cell

Record 2
A relaxed ZrInAu crystal. Source: Alexandria via LeMat-Bulk, functional PBE.

Lattice parameters (Å, degrees): 6.6162 6.6162 6.1110 100.44 100.44 28.77
With the nearest neighbours (Å) after each atom.
Atoms (fractional coordinates):
Zr  0.0000  0.0000  0.0000  4 Au 2.97, 4 Zr 3.06-3.29, 4 In 3.11
Zr  0.0000  0.0000  0.5000  4 Au 2.97, 4 Zr 3.06-3.29, 4 In 3.18
In  0.3249  0.3249  0.6924  4 Au 2.93-3.13, 4 Zr 3.11-3.18, 2 In 3.20
In  0.6751  0.6751  0.3076  4 Au 2.93-3.13, 4 Zr 3.11-3.18, 2 In 3.20
Au  0.3457  0.3457  0.1902  4 In 2.93-3.13, 4 Zr 2.97
Au  0.6543  0.6543  0.8098  4 In 2.93-3.13, 4 Zr 2.97

Results
Calculated total energy: -31.18 eV/cell

Record 3
A relaxed Zr2InAu crystal. Source: Alexandria via LeMat-Bulk, functional PBE.

Lattice parameters (Å, degrees): 4.3652 4.3652 4.3720 90.00 90.00 90.00
With the nearest neighbours (Å) after each atom.
Atoms (fractional coordinates):
Zr  0.0000  0.5000  0.0000  4 Zr 3.09, 4 Au 3.09, 4 In 3.09
Zr  0.5000  0.0000  0.0000  4 Zr 3.09, 4 Au 3.09, 4 In 3.09
In  0.0000  0.0000  0.5000  4 Au 3.09, 8 Zr 3.09
Au  0.5000  0.5000  0.5000  4 In 3.09, 8 Zr 3.09

Results
Calculated total energy: -24.71 eV/cell

Record 4
A relaxed Zr6In2Au crystal. Source: Alexandria via LeMat-Bulk, functional PBE.

Lattice parameters (Å, degrees): 9.4340 9.4340 4.5114 90.00 90.00 90.00
With the nearest neighbours (Å) after each atom.
Atoms (fractional coordinates):
Zr  0.0124  0.3296  0.0000  3 In 3.07-3.10, 1 Au 3.11, 8 Zr 3.21-3.23
Zr  0.1463  0.8537  0.5000  2 Au 2.98, 4 In 3.17, 6 Zr 3.21-3.23
Zr  0.1704  0.5124  0.5000  3 In 3.07-3.10, 1 Au 3.11, 8 Zr 3.21-3.23
Zr  0.3296  0.0124  0.0000  3 In 3.07-3.10, 1 Au 3.11, 8 Zr 3.21-3.23
Zr  0.3537  0.3537  0.0000  2 Au 2.98, 4 In 3.17, 6 Zr 3.21-3.23
Zr  0.4876  0.8296  0.5000  3 In 3.07-3.10, 1 Au 3.11, 8 Zr 3.21-3.23
Zr  0.5124  0.1704  0.5000  3 In 3.07-3.10, 1 Au 3.11, 8 Zr 3.21-3.23
Zr  0.6463  0.6463  0.0000  2 Au 2.98, 4 In 3.17, 6 Zr 3.21-3.23
Zr  0.6704  0.9876  0.0000  3 In 3.07-3.10, 1 Au 3.11, 8 Zr 3.21-3.23
Zr  0.8296  0.4876  0.5000  3 In 3.07-3.10, 1 Au 3.11, 8 Zr 3.21-3.23
Zr  0.8537  0.1463  0.5000  2 Au 2.98, 4 In 3.17, 6 Zr 3.21-3.23
Zr  0.9876  0.6704  0.0000  3 In 3.07-3.10, 1 Au 3.11, 8 Zr 3.21-3.23
In  0.1870  0.1870  0.5000  10 Zr 3.07-3.17, 2 Au 3.36
In  0.3130  0.6870  0.0000  10 Zr 3.07-3.17, 2 Au 3.36
In  0.6870  0.3130  0.0000  10 Zr 3.07-3.17, 2 Au 3.36
In  0.8130  0.8130  0.5000  10 Zr 3.07-3.17, 2 Au 3.36
Au  0.0000  0.0000  0.0000  8 Zr 2.98-3.11
Au  0.5000  0.5000  0.5000  8 Zr 2.98-3.11

Results
Calculated total energy: -124.62 eV/cell

Record 5
A relaxed ZrInAu crystal. Source: Alexandria via LeMat-Bulk, functional PBE.

Lattice parameters (Å, degrees): 4.4139 7.2189 7.2189 32.96 90.00 90.00
With the nearest neighbours (Å) after each atom.
Atoms (fractional coordinates):
Zr  0.0000  0.0000  0.0000  6 Au 2.97-3.01, 4 In 3.13-3.14, 2 Zr 3.19
Zr  0.0000  0.3235  0.3235  6 In 3.02-3.16, 4 Au 3.10-3.23, 2 Zr 3.19
In  0.5000  0.1601  0.1601  6 Au 3.01-3.08, 4 Zr 3.13-3.16, 2 In 3.21
In  0.5000  0.8390  0.8390  2 Au 2.96, 6 Zr 3.02-3.14, 2 In 3.21
Au  0.0000  0.6556  0.6556  4 Zr 2.97-3.10, 4 In 3.01, 2 Au 3.14
Au  0.5000  0.4938  0.4938  4 In 2.96-3.08, 6 Zr 3.01-3.23, 2 Au 3.14

Results
Calculated total energy: -31.30 eV/cell

Record 6
A relaxed Zr6In3Au crystal. Source: Alexandria via LeMat-Bulk, functional PBE.

Lattice parameters (Å, degrees): 7.9353 7.2033 10.9308 90.00 132.09 90.00
With the nearest neighbours (Å) after each atom.
Atoms (fractional coordinates):
Zr  0.0532  0.1474  0.3090  4 Zr 2.96-3.24, 2 In 3.08-3.16, 1 Au 3.29
Zr  0.0532  0.3526  0.8090  4 Zr 2.96-3.24, 2 In 3.08-3.16, 1 Au 3.29
Zr  0.2454  0.1803  0.6792  1 Au 2.80, 4 In 2.93-3.08, 2 Zr 2.96-3.04
Zr  0.2454  0.3197  0.1792  1 Au 2.80, 4 In 2.93-3.08, 2 Zr 2.96-3.04
Zr  0.4013  0.6232  0.8487  4 In 3.00-3.08, 1 Au 3.03, 5 Zr 3.04-3.32
Zr  0.4013  0.8768  0.3487  4 In 3.00-3.08, 1 Au 3.03, 5 Zr 3.04-3.32
Zr  0.5987  0.1232  0.6513  4 In 3.00-3.08, 1 Au 3.03, 5 Zr 3.04-3.32
Zr  0.5987  0.3768  0.1513  4 In 3.00-3.08, 1 Au 3.03, 5 Zr 3.04-3.32
Zr  0.7546  0.6803  0.8208  1 Au 2.80, 4 In 2.93-3.08, 2 Zr 2.96-3.04
Zr  0.7546  0.8197  0.3208  1 Au 2.80, 4 In 2.93-3.08, 2 Zr 2.96-3.04
Zr  0.9468  0.6474  0.1910  4 Zr 2.96-3.24, 2 In 3.08-3.16, 1 Au 3.29
Zr  0.9468  0.8526  0.6910  4 Zr 2.96-3.24, 2 In 3.08-3.16, 1 Au 3.29
In  0.2624  0.6830  0.0495  1 Au 2.89, 8 Zr 3.00-3.16, 1 In 3.23
In  0.2624  0.8170  0.5495  1 Au 2.89, 8 Zr 3.00-3.16, 1 In 3.23
In  0.5000  0.0000  0.0000  4 Zr 2.93-3.00, 2 In 3.23
In  0.5000  0.5000  0.5000  4 Zr 2.93-3.00, 2 In 3.23
In  0.7376  0.1830  0.4505  1 Au 2.89, 8 Zr 3.00-3.16, 1 In 3.23
In  0.7376  0.3170  0.9505  1 Au 2.89, 8 Zr 3.00-3.16, 1 In 3.23
Au  0.0000  0.0000  0.0000  4 Zr 2.80-3.03, 2 In 2.89
Au  0.0000  0.5000  0.5000  4 Zr 2.80-3.03, 2 In 2.89

Results
Calculated total energy: -127.17 eV/cell

Record 7
A relaxed ZrInAu crystal. Source: Alexandria via LeMat-Bulk, functional PBE.

Lattice parameters (Å, degrees): 6.3465 6.3465 6.3465 150.34 150.34 42.44
With the nearest neighbours (Å) after each atom.
Atoms (fractional coordinates):
Zr  0.0000  0.0000  0.0000  4 Au 2.96, 4 In 3.12, 4 Zr 3.25
In  0.3216  0.3216  0.0000  4 Au 3.01, 4 Zr 3.12, 4 In 3.25
Au  0.6575  0.6575  0.0000  4 Zr 2.96, 4 In 3.01, 4 Au 3.25

Results
Calculated total energy: -15.68 eV/cell

Record 8
A relaxed Zr3InAu crystal. Source: Alexandria via LeMat-Bulk, functional PBE.

Lattice parameters (Å, degrees): 9.2283 3.1610 7.6888 90.00 90.00 90.00
With the nearest neighbours (Å) after each atom.
Atoms (fractional coordinates):
Zr  0.0732  0.0000  0.1810  2 Au 3.00, 5 Zr 3.09-3.26, 2 In 3.14
Zr  0.2500  0.0000  0.5435  4 Au 2.82
Zr  0.4268  0.0000  0.1810  2 Au 3.00, 5 Zr 3.09-3.26, 2 In 3.14
Zr  0.5732  0.0000  0.8190  2 Au 3.00, 5 Zr 3.09-3.26, 2 In 3.14
Zr  0.7500  0.0000  0.4565  4 Au 2.82
Zr  0.9268  0.0000  0.8190  2 Au 3.00, 5 Zr 3.09-3.26, 2 In 3.14
In  0.2500  0.5000  0.8998  10 Zr 3.14-3.43, 2 In 3.16
In  0.7500  0.5000  0.1002  10 Zr 3.14-3.43, 2 In 3.16
Au  0.0000  0.5000  0.5000  8 Zr 2.82-3.00
Au  0.5000  0.5000  0.5000  8 Zr 2.82-3.00

Results
ΔE to the lowest computed polymorph: 0.0000 eV/atom

Record 9
A relaxed Zr3InAu crystal. Source: Alexandria via LeMat-Bulk, functional PBE.

Lattice parameters (Å, degrees): 5.1745 5.1745 5.1745 90.00 90.00 90.00
With the nearest neighbours (Å) after each atom.
Atoms (fractional coordinates):
Zr  0.0000  0.0000  0.5000  2 Au 2.59
Zr  0.0000  0.5000  0.0000  2 Au 2.59
Zr  0.5000  0.0000  0.0000  2 Au 2.59
In  0.5000  0.5000  0.5000  12 Zr 3.66
Au  0.0000  0.0000  0.0000  6 Zr 2.59

Results
ΔE to the lowest computed polymorph: 0.5917 eV/atom

Record 10
A relaxed Zr2InAu crystal. Source: Alexandria via LeMat-Bulk, functional PBE.

Lattice parameters (Å, degrees): 3.1458 5.0708 5.2763 90.00 90.00 90.00
With the nearest neighbours (Å) after each atom.
Atoms (fractional coordinates):
Zr  0.0000  0.0000  0.0000  4 In 3.07, 4 Au 3.07, 4 Zr 3.15-3.22
Zr  0.0000  0.5000  0.3770  4 Au 3.00-3.15, 4 In 3.05, 4 Zr 3.15-3.22
In  0.5000  0.0000  0.4998  8 Zr 3.05-3.07, 2 In 3.15, 2 Au 3.17
Au  0.5000  0.5000  0.8605  8 Zr 3.00-3.15, 2 Au 3.15, 2 In 3.17

Results
Calculated total energy: -24.49 eV/cell

Record 11
A relaxed Ir3Au2 crystal. Source: Alexandria via LeMat-Bulk, functional PBE.

Lattice parameters (Å, degrees): 8.6778 8.6778 8.6778 23.72 23.72 23.72
With the nearest neighbours (Å) after each atom.
Atoms (fractional coordinates):
Ir  0.0000  0.0000  0.0000  6 Au 2.71
Ir  0.1915  0.1915  0.1915  3 Ir 2.41
Ir  0.8085  0.8085  0.8085  3 Ir 2.41
Au  0.4030  0.4030  0.4030  6 Ir 2.71-2.75
Au  0.5970  0.5970  0.5970  6 Ir 2.71-2.75

Results
Calculated total energy: -28.30 eV/cell

Record 12
A relaxed IrAu8 crystal. Source: Alexandria via LeMat-Bulk, functional PBE.

Lattice parameters (Å, degrees): 7.6094 7.6094 7.6094 92.04 92.04 158.25
With the nearest neighbours (Å) after each atom.
Atoms (fractional coordinates):
Ir  0.0000  0.0000  0.0000  8 Au 2.83, 2 Ir 2.87
Au  0.0000  0.3340  0.3340  10 Au 2.87-2.88
Au  0.0000  0.6660  0.6660  10 Au 2.87-2.88
Au  0.3340  0.0000  0.3340  10 Au 2.87-2.88
Au  0.3366  0.3366  0.6731  2 Ir 2.83, 8 Au 2.87-2.96
Au  0.3366  0.6634  0.0000  2 Ir 2.83, 8 Au 2.87-2.96
Au  0.6634  0.3366  0.0000  2 Ir 2.83, 8 Au 2.87-2.96
Au  0.6634  0.6634  0.3269  2 Ir 2.83, 8 Au 2.87-2.96
Au  0.6660  0.0000  0.6660  10 Au 2.87-2.88

Results
Calculated total energy: -33.68 eV/cell